No. 1
# TlSbAs, relaxed, DFT PBE
data_TlSbAs
_cell_length_a 4.305
_cell_length_b 4.305
_cell_length_c 12.518
_cell_angle_alpha 100.54
_cell_angle_beta 100.54
_cell_angle_gamma 59.22
_space_group_name_H-M_alt 'P 1'
_space_group_IT_number 1
_space_group_name_Hall 'P 1'
loop_
_atom_site_label
_atom_site_type_symbol
_atom_site_fract_x
_atom_site_fract_y
_atom_site_fract_z
Tl1 Tl 0.241 0.241 0.222
Tl2 Tl 0.759 0.759 0.778
Sb1 Sb 0.357 0.357 0.566
Sb2 Sb 0.643 0.643 0.434
As1 As 0.154 0.154 0.964
As2 As 0.846 0.846 0.036
# Theoretical density ... 6.84 g/cm3
# Formation energy without anion corrections ... 88 meV per atom
# Relative energy among the computed polymorphs ... 0.063 eV/atom
# SG ... C2/m



No. 2
# TlSbAs2, relaxed, DFT PBE
data_TlSbAs2
_cell_length_a 5.996
_cell_length_b 5.996
_cell_length_c 5.996
_cell_angle_alpha 143.64
_cell_angle_beta 128.00
_cell_angle_gamma 65.10
_space_group_name_H-M_alt 'P 1'
_space_group_IT_number 1
_space_group_name_Hall 'P 1'
loop_
_atom_site_label
_atom_site_type_symbol
_atom_site_fract_x
_atom_site_fract_y
_atom_site_fract_z
Tl1 Tl 0.000 0.000 0.000
Sb1 Sb 0.500 0.500 0.000
As1 As 0.281 0.781 0.500
As2 As 0.719 0.219 0.500
# Theoretical density ... 7.95 g/cm3
# Formation energy without anion corrections ... 321 meV per atom
# Relative energy among the computed polymorphs ... 0.216 eV/atom
# SG ... Immm



No. 3
# Tl3Sb3As, relaxed, DFT PBE
data_Tl3Sb3As
_cell_length_a 6.560
_cell_length_b 6.560
_cell_length_c 6.560
_cell_angle_alpha 109.39
_cell_angle_beta 109.39
_cell_angle_gamma 109.39
_space_group_name_H-M_alt 'P 1'
_space_group_IT_number 1
_space_group_name_Hall 'P 1'
loop_
_atom_site_label
_atom_site_type_symbol
_atom_site_fract_x
_atom_site_fract_y
_atom_site_fract_z
Tl1 Tl 0.065 0.468 0.468
Tl2 Tl 0.468 0.065 0.468
Tl3 Tl 0.468 0.468 0.065
Sb1 Sb 0.555 0.959 0.959
Sb2 Sb 0.959 0.555 0.959
Sb3 Sb 0.959 0.959 0.555
As1 As 0.984 0.984 0.984
# Theoretical density ... 8.02 g/cm3
# Formation energy without anion corrections ... 116 meV per atom
# SG ... R3m



No. 4
# TlSb2As, relaxed, DFT PBE
data_TlSb2As
_cell_length_a 6.287
_cell_length_b 6.287
_cell_length_c 3.075
_cell_angle_alpha 90.00
_cell_angle_beta 90.00
_cell_angle_gamma 118.73
_space_group_name_H-M_alt 'P 1'
_space_group_IT_number 1
_space_group_name_Hall 'P 1'
loop_
_atom_site_label
_atom_site_type_symbol
_atom_site_fract_x
_atom_site_fract_y
_atom_site_fract_z
Tl1 Tl 0.000 0.000 0.000
Sb1 Sb 0.000 0.500 0.500
Sb2 Sb 0.500 0.000 0.500
As1 As 0.500 0.500 0.000
# Theoretical density ... 8.15 g/cm3
# Formation energy without anion corrections ... 310 meV per atom
# Relative energy among the computed polymorphs ... 0.197 eV/atom
# SG ... Cmmm



No. 5
# Tl2SbAs, relaxed, DFT PBE
data_Tl2SbAs
_cell_length_a 4.359
_cell_length_b 4.543
_cell_length_c 5.624
_cell_angle_alpha 90.00
_cell_angle_beta 90.00
_cell_angle_gamma 90.00
_space_group_name_H-M_alt 'P 1'
_space_group_IT_number 1
_space_group_name_Hall 'P 1'
loop_
_atom_site_label
_atom_site_type_symbol
_atom_site_fract_x
_atom_site_fract_y
_atom_site_fract_z
Tl1 Tl 0.000 0.000 0.000
Tl2 Tl 0.500 0.500 0.000
Sb1 Sb 0.000 0.500 0.500
As1 As 0.500 0.000 0.500
# Theoretical density ... 9.03 g/cm3
# Formation energy without anion corrections ... 160 meV per atom
# Relative energy among the computed polymorphs ... 0.140 eV/atom
# SG ... Pmmm



No. 6
# TlSb2As, relaxed, DFT PBE
data_TlSb2As
_cell_length_a 3.481
_cell_length_b 3.481
_cell_length_c 9.299
_cell_angle_alpha 90.00
_cell_angle_beta 90.00
_cell_angle_gamma 90.00
_space_group_name_H-M_alt 'P 1'
_space_group_IT_number 1
_space_group_name_Hall 'P 1'
loop_
_atom_site_label
_atom_site_type_symbol
_atom_site_fract_x
_atom_site_fract_y
_atom_site_fract_z
Tl1 Tl 0.000 0.000 0.000
Sb1 Sb 0.000 0.000 0.435
Sb2 Sb 0.500 0.500 0.725
As1 As 0.500 0.500 0.284
# Theoretical density ... 7.71 g/cm3
# Formation energy without anion corrections ... 206 meV per atom
# Relative energy among the computed polymorphs ... 0.093 eV/atom
# SG ... P4mm



No. 7
# TlSbAs, relaxed, DFT PBE
data_TlSbAs
_cell_length_a 5.265
_cell_length_b 5.265
_cell_length_c 3.272
_cell_angle_alpha 90.00
_cell_angle_beta 90.00
_cell_angle_gamma 120.00
_space_group_name_H-M_alt 'P 1'
_space_group_IT_number 1
_space_group_name_Hall 'P 1'
loop_
_atom_site_label
_atom_site_type_symbol
_atom_site_fract_x
_atom_site_fract_y
_atom_site_fract_z
Tl1 Tl 0.000 0.000 0.000
Sb1 Sb 0.333 0.667 0.500
As1 As 0.667 0.333 0.500
# Theoretical density ... 8.48 g/cm3
# Formation energy without anion corrections ... 157 meV per atom
# Relative energy among the computed polymorphs ... 0.132 eV/atom
# SG ... P-6m2



No. 8
# TlSbAs2, relaxed, DFT PBE
data_TlSbAs2
_cell_length_a 6.359
_cell_length_b 6.359
_cell_length_c 6.359
_cell_angle_alpha 141.55
_cell_angle_beta 141.55
_cell_angle_gamma 55.50
_space_group_name_H-M_alt 'P 1'
_space_group_IT_number 1
_space_group_name_Hall 'P 1'
loop_
_atom_site_label
_atom_site_type_symbol
_atom_site_fract_x
_atom_site_fract_y
_atom_site_fract_z
Tl1 Tl 0.000 0.000 0.000
Sb1 Sb 0.750 0.250 0.500
As1 As 0.250 0.750 0.500
As2 As 0.500 0.500 0.000
# Theoretical density ... 8.01 g/cm3
# Formation energy without anion corrections ... 353 meV per atom
# Relative energy among the computed polymorphs ... 0.248 eV/atom
# SG ... I-4m2



No. 9
# Tl2SbAs, relaxed, DFT PBE
data_Tl2SbAs
_cell_length_a 3.500
_cell_length_b 3.500
_cell_length_c 10.203
_cell_angle_alpha 90.00
_cell_angle_beta 90.00
_cell_angle_gamma 113.98
_space_group_name_H-M_alt 'P 1'
_space_group_IT_number 1
_space_group_name_Hall 'P 1'
loop_
_atom_site_label
_atom_site_type_symbol
_atom_site_fract_x
_atom_site_fract_y
_atom_site_fract_z
Tl1 Tl 0.000 0.000 0.000
Tl2 Tl 0.500 0.500 0.281
Sb1 Sb 0.000 0.000 0.562
As1 As 0.500 0.500 0.756
# Theoretical density ... 8.80 g/cm3
# Formation energy without anion corrections ... 182 meV per atom
# Relative energy among the computed polymorphs ... 0.162 eV/atom
# SG ... Cmm2



No. 10
# TlSbAs2, relaxed, DFT PBE
data_TlSbAs2
_cell_length_a 3.319
_cell_length_b 3.319
_cell_length_c 9.259
_cell_angle_alpha 90.00
_cell_angle_beta 90.00
_cell_angle_gamma 102.89
_space_group_name_H-M_alt 'P 1'
_space_group_IT_number 1
_space_group_name_Hall 'P 1'
loop_
_atom_site_label
_atom_site_type_symbol
_atom_site_fract_x
_atom_site_fract_y
_atom_site_fract_z
Tl1 Tl 0.000 0.000 0.000
Sb1 Sb 0.000 0.000 0.500
As1 As 0.500 0.500 0.275
As2 As 0.500 0.500 0.725
# Theoretical density ... 7.95 g/cm3
# Formation energy without anion corrections ... 307 meV per atom
# Relative energy among the computed polymorphs ... 0.203 eV/atom
# SG ... Cmmm



No. 11
# Tl2SbAs, relaxed, DFT PBE
data_Tl2SbAs
_cell_length_a 10.806
_cell_length_b 10.806
_cell_length_c 10.806
_cell_angle_alpha 18.43
_cell_angle_beta 18.43
_cell_angle_gamma 18.43
_space_group_name_H-M_alt 'P 1'
_space_group_IT_number 1
_space_group_name_Hall 'P 1'
loop_
_atom_site_label
_atom_site_type_symbol
_atom_site_fract_x
_atom_site_fract_y
_atom_site_fract_z
Tl1 Tl 0.245 0.245 0.245
Tl2 Tl 0.755 0.755 0.755
Sb1 Sb 0.000 0.000 0.000
As1 As 0.500 0.500 0.500
# Theoretical density ... 9.13 g/cm3
# Formation energy without anion corrections ... 260 meV per atom
# Relative energy among the computed polymorphs ... 0.240 eV/atom
# SG ... R-3m



No. 12
# TlSb2As, relaxed, DFT PBE
data_TlSb2As
_cell_length_a 5.718
_cell_length_b 5.718
_cell_length_c 5.718
_cell_angle_alpha 130.19
_cell_angle_beta 130.19
_cell_angle_gamma 73.10
_space_group_name_H-M_alt 'P 1'
_space_group_IT_number 1
_space_group_name_Hall 'P 1'
loop_
_atom_site_label
_atom_site_type_symbol
_atom_site_fract_x
_atom_site_fract_y
_atom_site_fract_z
Tl1 Tl 0.000 0.000 0.000
Sb1 Sb 0.500 0.500 0.000
Sb2 Sb 0.750 0.250 0.500
As1 As 0.250 0.750 0.500
# Theoretical density ... 8.15 g/cm3
# Formation energy without anion corrections ... 307 meV per atom
# Relative energy among the computed polymorphs ... 0.193 eV/atom
# SG ... I-4m2



Look up the formation energy without anion corrections of the first one.
88 meV per atom



The highest theoretical density belongs to which entry?
number 11